Compound: SrTiP2F
Source: Alexandria
Functional: PBE
Structure: optimized geometry

Cell: 5.2831 5.6368 5.2831 Å, 90.00 90.00 90.00°
Last column: nearest neighbours and their distance in Å.
Sites, in units of the cell vectors:
Sr 0.0000 0.0000 0.0000  4 P 2.64, 2 Ti 2.82
F 0.5000 0.5000 0.5000  4 Ti 3.74, 8 P 3.86
P 0.0000 0.0000 0.5000  2 Sr 2.64
P 0.5000 0.0000 0.0000  2 Sr 2.64
Ti 0.0000 0.5000 0.0000  2 Sr 2.82

Results
formation energy without anion corrections: 1.349 eV/atom



Compound: CdRh2Pb
Source: Alexandria
Functional: PBE
Structure: optimized geometry

Cell: 4.6906 4.6906 4.6906 Å, 60.00 60.00 60.00°
Last column: nearest neighbours and their distance in Å.
Sites, in units of the cell vectors:
Cd 0.5000 0.5000 0.5000  4 Rh 2.87, 4 Pb 2.87
Rh 0.0000 0.0000 0.0000  4 Rh 2.87, 4 Pb 2.87
Rh 0.7500 0.7500 0.7500  4 Cd 2.87, 4 Rh 2.87
Pb 0.2500 0.2500 0.2500  4 Rh 2.87, 4 Cd 2.87

Results
formation enthalpy at 0 K: 0.244 eV/atom



Compound: Ca2BiH
Source: Alexandria
Functional: PBE
Structure: optimized geometry

Cell: 5.2788 5.2788 5.2788 Å, 60.00 60.00 60.00°
Last column: nearest neighbours and their distance in Å.
Sites, in units of the cell vectors:
H 0.0000 0.0000 0.0000  8 Ca 3.23
Ca 0.2500 0.2500 0.2500  4 Bi 3.23, 4 H 3.23
Ca 0.7500 0.7500 0.7500  4 Bi 3.23, 4 H 3.23
Bi 0.5000 0.5000 0.5000  8 Ca 3.23

Results
E above lowest polymorph: 0.904 eV/f.u.



Compound: HoB4Ir2Os
Source: Alexandria
Functional: PBE
Structure: optimized geometry

Cell: 3.6918 3.6918 8.3911 Å, 77.29 77.29 60.00°
Last column: nearest neighbours and their distance in Å.
Sites, in units of the cell vectors:
Ho 0.0000 0.0000 0.0000  8 B 2.75-3.08
B 0.4050 0.4050 0.7850  3 Ir 2.19, 1 Os 2.31
B 0.8735 0.8735 0.3795  3 Ir 2.29, 3 Os 2.35, 3 B 2.51
B 0.1265 0.1265 0.6205  3 Ir 2.29, 3 Os 2.35, 3 B 2.51
B 0.5950 0.5950 0.2150  3 Ir 2.19, 1 Os 2.31
Ir 0.7588 0.7588 0.7236  6 B 2.19-2.29
Ir 0.2412 0.2412 0.2764  6 B 2.19-2.29
Os 0.5000 0.5000 0.5000  8 B 2.31-2.35

Results
formation enthalpy at 0 K: -0.148 eV/atom



Compound: InAg2PbS
Source: Alexandria
Functional: PBE
Structure: optimized geometry

Cell: 5.3468 5.5361 5.3468 Å, 90.00 90.00 90.00°
Last column: nearest neighbours and their distance in Å.
Sites, in units of the cell vectors:
Pb 0.0000 0.0000 0.0000  4 Ag 2.67, 2 S 2.77
S 0.0000 0.5000 0.0000  2 Pb 2.77
Ag 0.0000 0.0000 0.5000  2 Pb 2.67
Ag 0.5000 0.0000 0.0000  2 Pb 2.67
In 0.5000 0.5000 0.5000  4 S 3.78, 8 Ag 3.85

Results
formation energy without anion corrections: 0.466 eV/atom



Compound: LiNdZn2Pt2
Source: Alexandria
Functional: PBE
Structure: optimized geometry

Cell: 4.3644 4.3644 6.7414 Å, 90.00 90.00 120.00°
Last column: nearest neighbours and their distance in Å.
Sites, in units of the cell vectors:
Li 0.0000 0.0000 0.5000  6 Zn 2.76, 6 Pt 2.95
Nd 0.0000 0.0000 0.0000  6 Pt 3.12, 2 Li 3.37, 6 Zn 3.38
Zn 0.6667 0.3333 0.6668  4 Pt 2.55-2.66, 3 Li 2.76
Zn 0.3333 0.6667 0.3332  4 Pt 2.55-2.66, 3 Li 2.76
Pt 0.6667 0.3333 0.2722  4 Zn 2.55-2.66
Pt 0.3333 0.6667 0.7278  4 Zn 2.55-2.66

Results
formation enthalpy at 0 K: -0.754 eV/atom



Repeat the fourth record exactly.
Compound: HoB4Ir2Os
Source: Alexandria
Functional: PBE
Structure: optimized geometry

Cell: 3.6918 3.6918 8.3911 Å, 77.29 77.29 60.00°
Last column: nearest neighbours and their distance in Å.
Sites, in units of the cell vectors:
Ho 0.0000 0.0000 0.0000  8 B 2.75-3.08
B 0.4050 0.4050 0.7850  3 Ir 2.19, 1 Os 2.31
B 0.8735 0.8735 0.3795  3 Ir 2.29, 3 Os 2.35, 3 B 2.51
B 0.1265 0.1265 0.6205  3 Ir 2.29, 3 Os 2.35, 3 B 2.51
B 0.5950 0.5950 0.2150  3 Ir 2.19, 1 Os 2.31
Ir 0.7588 0.7588 0.7236  6 B 2.19-2.29
Ir 0.2412 0.2412 0.2764  6 B 2.19-2.29
Os 0.5000 0.5000 0.5000  8 B 2.31-2.35

Results
formation enthalpy at 0 K: -0.148 eV/atom